{
  "formula": "YAl2Co2",
  "functional": "PBE-GGA",
  "state": "optimized geometry",
  "lattice": [[-0.405, -1.621, 3.706], [3.661, -1.732, -0.357], [2.558, 9.707, 2.296]],
  "species": ["Co", "Co", "Co", "Co", "Y", "Y", "Al", "Al", "Al", "Al"],
  "fractional_positions": [[0.933, 0.933, 0.866], [0.750, 0.250, 0.500], [0.067, 0.067, 0.134], [0.250, 0.750, 0.500], [0.367, 0.367, 0.734], [0.633, 0.633, 0.266], [0.000, 0.500, 0.000], [0.190, 0.190, 0.380], [0.500, 0.000, 0.000], [0.810, 0.810, 0.620]],
  "total_magnetization_mub_per_fu": 0.0,
  "formation_enthalpy_0k_mev_per_atom": -426,
  "energy_ev_per_atom": -6.058
}



{
  "formula": "AlTl2V",
  "functional": "PBE-GGA",
  "state": "optimized geometry",
  "lattice": [[-0.621, 7.840, 0.682], [-3.297, -0.880, 7.119], [0.769, 3.585, 5.177]],
  "species": ["V", "V", "Al", "Al", "Tl", "Tl", "Tl", "Tl"],
  "fractional_positions": [[0.750, 0.250, 0.500], [0.000, 0.000, 0.000], [0.250, 0.750, 0.500], [0.500, 0.500, 0.000], [0.375, 0.377, 0.750], [0.623, 0.125, 0.250], [0.875, 0.873, 0.750], [0.127, 0.625, 0.250]],
  "total_magnetization_mub_per_fu": 2.8,
  "formation_enthalpy_0k_mev_per_atom": 678,
  "energy_ev_per_atom": -3.721
}



{
  "formula": "In2SbRh",
  "functional": "PBE-GGA",
  "state": "optimized geometry",
  "lattice": [[6.298, 0.000, 0.000], [0.000, 6.298, 0.000], [3.149, 3.149, 6.392]],
  "species": ["In", "In", "In", "In", "Sb", "Sb", "Rh", "Rh"],
  "fractional_positions": [[0.163, 0.625, 0.250], [0.587, 0.125, 0.250], [0.375, 0.413, 0.750], [0.875, 0.837, 0.750], [0.750, 0.250, 0.500], [0.000, 0.000, 0.000], [0.250, 0.750, 0.500], [0.500, 0.500, 0.000]],
  "total_magnetization_mub_per_fu": 0.0,
  "formation_energy_uncorrected_ev_per_atom": 0.29,
  "energy_ev_per_atom": -3.948
}



{
  "formula": "Nd2CuSi",
  "functional": "PBE-GGA",
  "state": "optimized geometry",
  "lattice": [[-0.874, 3.982, -0.900], [-3.635, -1.809, -4.471], [-4.174, 0.684, 7.077]],
  "species": ["Nd", "Nd", "Nd", "Nd", "Si", "Si", "Cu", "Cu"],
  "fractional_positions": [[0.250, 0.777, 0.554], [0.750, 0.209, 0.909], [0.750, 0.223, 0.446], [0.250, 0.791, 0.091], [0.250, 0.342, 0.207], [0.750, 0.658, 0.793], [0.750, 0.585, 0.270], [0.250, 0.415, 0.730]],
  "total_magnetization_mub_per_fu": 0.0,
  "formation_energy_uncorrected_ev_per_atom": -0.45,
  "energy_ev_per_atom": -5.217
}



{
  "formula": "Re3Br",
  "functional": "PBE-GGA",
  "state": "optimized geometry",
  "lattice": [[-2.068, 3.117, 2.700], [-3.226, 0.658, -3.230], [-1.640, -2.130, 1.204]],
  "species": ["Br", "Re", "Re", "Re"],
  "fractional_positions": [[0.000, 0.000, 0.000], [0.500, 0.000, 0.500], [0.000, 0.500, 0.500], [0.500, 0.500, 0.000]],
  "total_magnetization_mub_per_fu": 0.0,
  "formation_energy_uncorrected_ev_per_atom": 1.18,
  "energy_ev_per_atom": -8.575
}



{
  "formula": "LaPmCu",
  "functional": "PBE-GGA",
  "state": "optimized geometry",
  "lattice": [[4.953, 0.000, 0.000], [0.000, 8.510, 0.000], [0.000, 0.000, 7.885]],
  "species": ["Pm", "Pm", "Pm", "Pm", "Cu", "Cu", "Cu", "Cu", "La", "La", "La", "La"],
  "fractional_positions": [[0.250, 0.412, 0.357], [0.750, 0.912, 0.143], [0.250, 0.088, 0.857], [0.750, 0.588, 0.643], [0.250, 0.401, 0.722], [0.250, 0.099, 0.222], [0.750, 0.901, 0.778], [0.750, 0.599, 0.278], [0.750, 0.340, 0.032], [0.250, 0.660, 0.968], [0.250, 0.840, 0.468], [0.750, 0.160, 0.532]],
  "total_magnetization_mub_per_fu": 0.0,
  "formation_enthalpy_0k_mev_per_atom": -95,
  "energy_ev_per_atom": -4.686
}



{
  "formula": "InSiRuO",
  "functional": "PBE-GGA",
  "state": "optimized geometry",
  "lattice": [[-0.176, 1.757, -6.954], [2.975, -0.997, -0.327], [-1.710, -5.170, 0.206]],
  "species": ["In", "In", "Si", "Si", "Ru", "Ru", "O", "O"],
  "fractional_positions": [[0.620, 0.500, 0.146], [0.620, 0.000, 0.646], [0.086, 0.500, 0.966], [0.086, 0.000, 0.466], [0.301, 0.500, 0.706], [0.301, 0.000, 0.206], [0.845, 0.000, 0.384], [0.845, 0.500, 0.884]],
  "total_magnetization_mub_per_fu": 0.0,
  "formation_energy_uncorrected_ev_per_atom": -0.86,
  "energy_ev_per_atom": -6.461
}



{
  "formula": "BaAgN",
  "functional": "PBE-GGA",
  "state": "optimized geometry",
  "lattice": [[-1.377, 3.100, -2.054], [-2.564, 0.735, 2.828], [5.397, 7.662, 2.901]],
  "species": ["Ba", "Ba", "N", "N", "Ag", "Ag"],
  "fractional_positions": [[0.650, 0.344, 0.166], [0.709, 0.845, 0.781], [0.296, 0.345, 0.973], [0.127, 0.346, 0.882], [0.404, 0.344, 0.515], [0.969, 0.844, 0.421]],
  "total_magnetization_mub_per_fu": 0.0,
  "formation_energy_uncorrected_ev_per_atom": -0.24,
  "energy_ev_per_atom": -4.602
}



{
  "formula": "As2PtW",
  "functional": "PBE-GGA",
  "state": "optimized geometry",
  "lattice": [[4.567, 0.000, 0.000], [2.284, 3.955, 0.000], [2.284, 1.318, 3.729]],
  "species": ["As", "As", "Pt", "W"],
  "fractional_positions": [[0.250, 0.250, 0.250], [0.000, 0.000, 0.000], [0.500, 0.500, 0.500], [0.750, 0.750, 0.750]],
  "total_magnetization_mub_per_fu": 0.0,
  "formation_enthalpy_0k_mev_per_atom": 493,
  "energy_ev_per_atom": -6.580
}



{
  "formula": "ZrCo2Rh",
  "functional": "PBE-GGA",
  "state": "optimized geometry",
  "lattice": [[-3.190, -1.423, 1.270], [0.575, -3.077, -2.004], [3.136, -5.973, 6.626]],
  "species": ["Zr", "Zr", "Co", "Co", "Co", "Co", "Rh", "Rh"],
  "fractional_positions": [[0.500, 0.500, 0.000], [0.250, 0.750, 0.500], [0.080, 0.625, 0.250], [0.875, 0.920, 0.750], [0.670, 0.125, 0.250], [0.375, 0.330, 0.750], [0.750, 0.250, 0.500], [0.000, 0.000, 0.000]],
  "total_magnetization_mub_per_fu": 2.6,
  "formation_enthalpy_0k_mev_per_atom": 136,
  "energy_ev_per_atom": -7.392
}



{
  "formula": "Cs2Ag2HgF6",
  "functional": "PBE-GGA",
  "state": "optimized geometry",
  "lattice": [[-3.713, -1.871, 5.528], [-4.645, -5.100, -0.518], [1.489, -6.369, 3.172]],
  "species": ["Ag", "Ag", "Cs", "Cs", "F", "F", "F", "F", "F", "F", "Hg"],
  "fractional_positions": [[0.578, 0.578, 0.265], [0.422, 0.422, 0.735], [0.782, 0.782, 0.655], [0.218, 0.218, 0.345], [0.211, 0.768, 0.253], [0.789, 0.232, 0.747], [0.768, 0.768, 0.253], [0.768, 0.211, 0.253], [0.232, 0.232, 0.747], [0.232, 0.789, 0.747], [0.000, 0.000, 0.000]],
  "total_magnetization_mub_per_fu": 0.0,
  "formation_energy_uncorrected_ev_per_atom": -1.71,
  "energy_ev_per_atom": -3.435
}



{
  "formula": "Ca2TlFe",
  "functional": "PBE-GGA",
  "state": "optimized geometry",
  "lattice": [[-0.499, 4.814, -4.034], [-3.064, 2.249, -5.024], [-3.825, 3.403, 1.096]],
  "species": ["Tl", "Ca", "Ca", "Fe"],
  "fractional_positions": [[0.213, 0.213, 0.288], [0.775, 0.775, 0.726], [0.982, 0.982, 0.017], [0.530, 0.530, 0.468]],
  "total_magnetization_mub_per_fu": 2.7,
  "formation_enthalpy_0k_mev_per_atom": 169,
  "energy_ev_per_atom": -3.539
}



{
  "formula": "SbCl",
  "functional": "PBE-GGA",
  "state": "optimized geometry",
  "lattice": [[3.656, 0.000, 0.000], [0.000, 3.656, 0.000], [0.000, 0.000, 3.656]],
  "species": ["Sb", "Cl"],
  "fractional_positions": [[0.500, 0.500, 0.500], [0.000, 0.000, 0.000]],
  "total_magnetization_mub_per_fu": 0.0,
  "formation_energy_uncorrected_ev_per_atom": 0.19,
  "energy_ev_per_atom": -2.798
}



{
  "formula": "KNaLi2Pt",
  "functional": "PBE-GGA",
  "state": "optimized geometry",
  "lattice": [[4.999, 0.000, 0.000], [0.000, 4.999, 0.000], [0.000, 0.000, 5.606]],
  "species": ["Li", "Li", "K", "Na", "Pt"],
  "fractional_positions": [[0.500, 0.000, 0.000], [0.000, 0.500, 0.000], [0.500, 0.500, 0.500], [0.000, 0.000, 0.500], [0.000, 0.000, 0.000]],
  "total_magnetization_mub_per_fu": 0.0,
  "formation_enthalpy_0k_mev_per_atom": -94,
  "energy_ev_per_atom": -2.551
}



{
  "formula": "SmY2Cd6",
  "functional": "PBE-GGA",
  "state": "optimized geometry",
  "lattice": [[3.465, 0.000, 0.000], [0.000, 7.485, -4.322], [0.000, 0.000, 8.643]],
  "species": ["Cd", "Cd", "Cd", "Cd", "Cd", "Cd", "Y", "Y", "Sm"],
  "fractional_positions": [[0.500, 0.000, 0.665], [0.500, 0.335, 0.335], [0.500, 0.665, 0.000], [0.500, 0.665, 0.665], [0.500, 0.335, 0.000], [0.500, 0.000, 0.335], [0.000, 0.333, 0.667], [0.000, 0.667, 0.333], [0.000, 0.000, 0.000]],
  "total_magnetization_mub_per_fu": 0.1,
  "formation_enthalpy_0k_mev_per_atom": -337,
  "energy_ev_per_atom": -2.908
}



{
  "formula": "Nd2BRh4",
  "functional": "PBE-GGA",
  "state": "optimized geometry",
  "lattice": [[-2.473, 2.521, -2.386], [-3.306, -2.603, 0.677], [-4.647, 3.691, 4.911]],
  "species": ["Nd", "Nd", "Rh", "Rh", "Rh", "Rh", "B"],
  "fractional_positions": [[0.653, 0.653, 0.694], [0.347, 0.347, 0.306], [0.144, 0.144, 0.713], [0.856, 0.856, 0.287], [0.500, 0.000, 0.000], [0.000, 0.500, 0.000], [0.000, 0.000, 0.000]],
  "total_magnetization_mub_per_fu": 0.0,
  "formation_enthalpy_0k_mev_per_atom": -562,
  "energy_ev_per_atom": -7.079
}



{
  "formula": "Rb2SiB",
  "functional": "PBE-GGA",
  "state": "optimized geometry",
  "lattice": [[-0.411, -12.711, -3.049], [8.869, -2.512, 9.276], [2.860, -7.865, 4.354]],
  "species": ["Rb", "Rb", "Rb", "Rb", "Si", "Si", "B", "B"],
  "fractional_positions": [[0.344, 0.625, 0.250], [0.375, 0.594, 0.750], [0.406, 0.125, 0.250], [0.875, 0.656, 0.750], [0.750, 0.250, 0.500], [0.000, 0.000, 0.000], [0.500, 0.500, 0.000], [0.250, 0.750, 0.500]],
  "total_magnetization_mub_per_fu": 0.3,
  "formation_energy_uncorrected_ev_per_atom": 0.39,
  "energy_ev_per_atom": -3.120
}



{
  "formula": "CaTb6Pr8",
  "functional": "PBE-GGA",
  "state": "optimized geometry",
  "lattice": [[-2.283, 3.043, -7.449], [-7.933, -2.285, -1.344], [-4.828, 6.691, 1.371]],
  "species": ["Tb", "Tb", "Tb", "Tb", "Tb", "Tb", "Pr", "Pr", "Pr", "Pr", "Pr", "Pr", "Pr", "Pr", "Ca"],
  "fractional_positions": [[0.566, 0.382, 0.825], [0.382, 0.825, 0.566], [0.434, 0.618, 0.175], [0.175, 0.434, 0.618], [0.825, 0.566, 0.382], [0.618, 0.175, 0.434], [0.947, 0.140, 0.619], [0.238, 0.238, 0.238], [0.140, 0.619, 0.947], [0.619, 0.947, 0.140], [0.860, 0.381, 0.053], [0.762, 0.762, 0.762], [0.053, 0.860, 0.381], [0.381, 0.053, 0.860], [0.000, 0.000, 0.000]],
  "total_magnetization_mub_per_fu": 0.0,
  "formation_enthalpy_0k_mev_per_atom": 164,
  "energy_ev_per_atom": -4.371
}



{
  "formula": "SiTe5",
  "functional": "PBE-GGA",
  "state": "optimized geometry",
  "lattice": [[2.047, -7.259, 0.000], [2.047, 7.259, 0.000], [0.000, 0.000, 6.078]],
  "species": ["Te", "Te", "Te", "Te", "Te", "Si"],
  "fractional_positions": [[0.720, 0.280, 0.500], [0.414, 0.586, 0.000], [0.697, 0.303, 0.000], [0.056, 0.944, 0.500], [0.392, 0.608, 0.500], [0.056, 0.944, 0.000]],
  "total_magnetization_mub_per_fu": 0.0,
  "formation_energy_uncorrected_ev_per_atom": 0.11,
  "energy_ev_per_atom": -3.413
}



{
  "formula": "YZr2Co2",
  "functional": "PBE-GGA",
  "state": "optimized geometry",
  "lattice": [[4.657, 0.000, 0.000], [0.000, 4.657, 0.000], [2.329, 2.329, 4.863]],
  "species": ["Zr", "Zr", "Co", "Co", "Y"],
  "fractional_positions": [[0.662, 0.662, 0.677], [0.338, 0.338, 0.323], [0.750, 0.250, 0.500], [0.250, 0.750, 0.500], [0.000, 0.000, 0.000]],
  "total_magnetization_mub_per_fu": 0.5,
  "formation_enthalpy_0k_mev_per_atom": 111,
  "energy_ev_per_atom": -7.443
}